# BeOsPtSe2, optimized geometry, DFT PBE-GGA
# formation energy without anion corrections	0.937	eV per atom
# D(E_F)	3.38	states/eV/cell
data_BeOsPtSe2
_cell_length_a 4.3809
_cell_length_b 4.3809
_cell_length_c 4.2027
_cell_angle_alpha 90.00
_cell_angle_beta 90.00
_cell_angle_gamma 90.00
_symmetry_space_group_name_H-M 'P 4/m m m'
_symmetry_Int_Tables_number 123
_symmetry_space_group_name_Hall '-P 4 2'
loop_
_atom_site_label
_atom_site_fract_x
_atom_site_fract_y
_atom_site_fract_z
Be1 0.0000 0.0000 0.0000
Os1 0.0000 0.0000 0.5000
Pt1 0.5000 0.5000 0.5000
Se1 0.0000 0.5000 0.0000